This record from Alexandria describes crystalline BaH3IO6 at its relaxed geometry. The functional is GGA-PBE.

Properties
* volume: 11.7 Å³/atom
* density: 4.71 g cm⁻³
* calculated total energy: -55.4 eV per formula unit
* M_tot: 0.000 μB/cell
* density of states at the Fermi level: 0.0 states/eV per cell

Unit cell a=5.077 b=5.092 c=5.130 alpha=97.99 beta=100.26 gamma=95.67
Element x y z (fractional)
Ba  0.000  0.000  0.000
H  0.068  0.347  0.607
H  0.399  0.638  0.930
H  0.646  0.938  0.376
I  0.509  0.484  0.483
O  0.220  0.239  0.573
O  0.253  0.582  0.222
O  0.422  0.743  0.781
O  0.571  0.201  0.241
O  0.757  0.791  0.434
O  0.794  0.423  0.741

This record from Alexandria describes crystalline SrLiZn at its relaxed geometry. The functional is GGA-PBE.

Properties
* volume: 35.2 Å³/atom
* density: 2.52 g cm⁻³
* calculated total energy: -3.9 eV per formula unit
* M_tot: 0.000 μB/cell
* density of states at the Fermi level: 2.3 states/eV per cell

Unit cell a=5.304 b=5.304 c=5.304 alpha=60.00 beta=60.00 gamma=60.00
Element x y z (fractional)
Sr  0.000  0.000  0.000
Li  0.750  0.750  0.750
Zn  0.250  0.250  0.250

This record from Alexandria describes crystalline LiZr2Ta at its relaxed geometry. The functional is GGA-PBE.

Properties
* volume: 20.8 Å³/atom
* density: 7.38 g cm⁻³
* calculated total energy: -30.0 eV per formula unit
* M_tot: 0.000 μB/cell
* density of states at the Fermi level: 4.2 states/eV per cell

Unit cell a=11.172 b=11.172 c=11.172 alpha=15.18 beta=15.18 gamma=15.18
Element x y z (fractional)
Li  0.000  0.000  0.000
Zr  0.249  0.249  0.249
Zr  0.751  0.751  0.751
Ta  0.500  0.500  0.500

This record from Alexandria describes crystalline Zr2MnZnC at its relaxed geometry. The functional is GGA-PBE.

Properties
* volume: 15.7 Å³/atom
* density: 6.68 g cm⁻³
* calculated total energy: -38.6 eV per formula unit
* M_tot: 0.002 μB/cell
* density of states at the Fermi level: 0.8 states/eV per cell

Unit cell a=4.603 b=4.603 c=3.695 alpha=90.00 beta=90.00 gamma=90.00
Element x y z (fractional)
Zr  0.000  0.500  0.000
Zr  0.500  0.000  0.000
Mn  0.000  0.000  0.500
Zn  0.500  0.500  0.500
C  0.000  0.000  0.000

This record from Alexandria describes crystalline CrAgW2 at its relaxed geometry. The functional is GGA-PBE.

Properties
* volume: 15.8 Å³/atom
* density: 13.89 g cm⁻³
* calculated total energy: -36.1 eV per formula unit
* M_tot: 1.710 μB/cell
* density of states at the Fermi level: 4.2 states/eV per cell

Unit cell a=9.633 b=9.633 c=9.633 alpha=16.53 beta=16.53 gamma=16.53
Element x y z (fractional)
Cr  0.000  0.000  0.000
Ag  0.500  0.500  0.500
W  0.255  0.255  0.255
W  0.745  0.745  0.745

This record from Alexandria describes crystalline CePmYTh at its relaxed geometry. The functional is GGA-PBE.

Properties
* volume: 32.6 Å³/atom
* density: 7.72 g cm⁻³
* calculated total energy: -23.6 eV per formula unit
* M_tot: 2.455 μB/cell
* density of states at the Fermi level: 12.8 states/eV per cell

Unit cell a=5.691 b=5.691 c=5.691 alpha=60.00 beta=60.00 gamma=60.00
Element x y z (fractional)
Ce  0.000  0.000  0.000
Pm  0.500  0.500  0.500
Y  0.750  0.750  0.750
Th  0.250  0.250  0.250

This record from Alexandria describes crystalline KLiEu at its relaxed geometry. The functional is GGA-PBE.

Properties
* volume: 44.3 Å³/atom
* density: 2.48 g cm⁻³
* calculated total energy: -12.8 eV per formula unit
* M_tot: 7.783 μB/cell
* density of states at the Fermi level: 11.8 states/eV per cell

Unit cell a=8.653 b=8.653 c=8.653 alpha=153.06 beta=153.06 gamma=38.47
Element x y z (fractional)
K  0.000  0.000  0.000
Li  0.656  0.656  0.000
Eu  0.285  0.285  0.000

This record from Alexandria describes crystalline Cs3ScAl2O6 at its relaxed geometry. The functional is GGA-PBE.

Properties
* E_form (uncorrected): -2.307 eV per atom
* volume: 19.8 Å³/atom
* density: 4.14 g cm⁻³
* calculated total energy: -73.8 eV per formula unit
* M_tot: 0.000 μB/cell
* density of states at the Fermi level: 0.0 states/eV per cell

Unit cell a=6.012 b=6.012 c=7.607 alpha=90.00 beta=90.00 gamma=120.00
Element x y z (fractional)
Cs  0.000  0.000  0.000
Cs  0.333  0.667  0.770
Cs  0.667  0.333  0.230
Sc  0.000  0.000  0.500
Al  0.333  0.667  0.338
Al  0.667  0.333  0.662
O  0.169  0.337  0.330
O  0.169  0.831  0.330
O  0.337  0.169  0.670
O  0.663  0.831  0.330
O  0.831  0.169  0.670
O  0.831  0.663  0.670

This record from Alexandria describes crystalline VCdPt at its relaxed geometry. The functional is GGA-PBE.

Properties
* volume: 17.2 Å³/atom
* density: 11.52 g cm⁻³
* calculated total energy: -16.2 eV per formula unit
* M_tot: 0.008 μB/cell
* density of states at the Fermi level: 5.9 states/eV per cell

Unit cell a=6.646 b=5.998 c=4.543 alpha=76.80 beta=61.48 gamma=41.72
Element x y z (fractional)
V  0.250  0.250  0.250
V  0.750  0.750  0.750
Cd  0.173  0.827  0.173
Cd  0.827  0.173  0.827
Pt  0.370  0.370  0.630
Pt  0.630  0.630  0.370

This record from Alexandria describes crystalline NaTc2SbPt at its relaxed geometry. The functional is GGA-PBE.

Properties
* E_form (uncorrected): 1.624 eV per atom
* volume: 24.6 Å³/atom
* density: 7.23 g cm⁻³
* calculated total energy: -24.1 eV per formula unit
* M_tot: 4.073 μB/cell
* density of states at the Fermi level: 4.9 states/eV per cell

Unit cell a=4.909 b=4.909 c=5.109 alpha=90.00 beta=90.00 gamma=90.00
Element x y z (fractional)
Na  0.000  0.000  0.000
Tc  0.000  0.500  0.500
Tc  0.500  0.000  0.500
Sb  0.000  0.000  0.500
Pt  0.500  0.500  0.000

This record from Alexandria describes crystalline Ni2Sn2I at its relaxed geometry. The functional is GGA-PBE.

Properties
* E_form (uncorrected): 0.219 eV per atom
* volume: 21.8 Å³/atom
* density: 7.33 g cm⁻³
* calculated total energy: -20.0 eV per formula unit
* M_tot: 0.000 μB/cell
* density of states at the Fermi level: 2.5 states/eV per cell

Unit cell a=6.501 b=6.501 c=6.501 alpha=140.73 beta=140.73 gamma=56.74
Element x y z (fractional)
Ni  0.116  0.116  0.000
Ni  0.884  0.884  0.000
Sn  0.250  0.750  0.500
Sn  0.750  0.250  0.500
I  0.500  0.500  0.000

This record from Alexandria describes crystalline AlCu3Au3 at its relaxed geometry. The functional is GGA-PBE.

Properties
* volume: 15.8 Å³/atom
* density: 12.18 g cm⁻³
* calculated total energy: -26.4 eV per formula unit
* M_tot: 0.000 μB/cell
* density of states at the Fermi level: 10.0 states/eV per cell

Unit cell a=7.612 b=7.612 c=7.612 alpha=90.00 beta=90.00 gamma=90.00
Element x y z (fractional)
Al  0.040  0.460  0.540
Al  0.460  0.540  0.040
Al  0.540  0.040  0.460
Al  0.960  0.960  0.960
Cu  0.128  0.628  0.872
Cu  0.159  0.841  0.341
Cu  0.170  0.170  0.170
Cu  0.330  0.830  0.670
Cu  0.341  0.159  0.841
Cu  0.372  0.372  0.372
Cu  0.628  0.872  0.128
Cu  0.659  0.659  0.659
Cu  0.670  0.330  0.830
Cu  0.830  0.670  0.330
Cu  0.841  0.341  0.159
Cu  0.872  0.128  0.628
Au  0.028  0.299  0.872
Au  0.128  0.528  0.201
Au  0.201  0.128  0.528
Au  0.299  0.872  0.028
Au  0.372  0.472  0.701
Au  0.472  0.701  0.372
Au  0.528  0.201  0.128
Au  0.628  0.972  0.799
Au  0.701  0.372  0.472
Au  0.799  0.628  0.972
Au  0.872  0.028  0.299
Au  0.972  0.799  0.628

This record from Alexandria describes crystalline Li2Ag6Au at its relaxed geometry. The functional is GGA-PBE.

Properties
* volume: 17.2 Å³/atom
* density: 9.22 g cm⁻³
* calculated total energy: -25.7 eV per formula unit
* M_tot: 0.000 μB/cell
* density of states at the Fermi level: 2.9 states/eV per cell

Unit cell a=5.034 b=5.034 c=8.604 alpha=106.93 beta=106.93 gamma=48.42
Element x y z (fractional)
Li  0.162  0.162  0.217
Li  0.838  0.838  0.783
Ag  0.168  0.168  0.554
Ag  0.168  0.168  0.890
Ag  0.498  0.498  0.331
Ag  0.502  0.502  0.669
Ag  0.832  0.832  0.110
Ag  0.832  0.832  0.446
Au  0.500  0.500  0.000

This record from Alexandria describes crystalline YPbI2 at its relaxed geometry. The functional is GGA-PBE.

Properties
* E_form (uncorrected): -0.370 eV per atom
* volume: 31.0 Å³/atom
* density: 7.38 g cm⁻³
* calculated total energy: -14.8 eV per formula unit
* M_tot: 0.000 μB/cell
* density of states at the Fermi level: 3.0 states/eV per cell

Unit cell a=5.594 b=5.594 c=5.594 alpha=60.00 beta=60.00 gamma=60.00
Element x y z (fractional)
Y  0.000  0.000  0.000
Pb  0.500  0.500  0.500
I  0.250  0.250  0.250
I  0.750  0.750  0.750

This record from Alexandria describes crystalline CeSmEr2 at its relaxed geometry. The functional is GGA-PBE.

Properties
* volume: 31.1 Å³/atom
* density: 8.33 g cm⁻³
* calculated total energy: -19.3 eV per formula unit
* M_tot: 0.234 μB/cell
* density of states at the Fermi level: 13.8 states/eV per cell

Unit cell a=11.565 b=11.565 c=6.417 alpha=94.17 beta=94.17 gamma=16.92
Element x y z (fractional)
Ce  0.001  0.001  0.209
Ce  0.999  0.999  0.791
Sm  0.250  0.250  0.257
Sm  0.750  0.750  0.743
Er  0.124  0.124  0.535
Er  0.378  0.378  0.964
Er  0.622  0.622  0.036
Er  0.876  0.876  0.465

This record from Alexandria describes crystalline Ho2MgSc at its relaxed geometry. The functional is GGA-PBE.

Properties
* volume: 27.8 Å³/atom
* density: 5.96 g cm⁻³
* calculated total energy: -16.9 eV per formula unit
* M_tot: 0.000 μB/cell
* density of states at the Fermi level: 5.0 states/eV per cell

Unit cell a=11.374 b=11.374 c=11.374 alpha=17.12 beta=17.12 gamma=17.12
Element x y z (fractional)
Ho  0.000  0.000  0.000
Ho  0.172  0.172  0.172
Mg  0.753  0.753  0.753
Sc  0.586  0.586  0.586

This record from Alexandria describes crystalline ScTaMoRu at its relaxed geometry. The functional is GGA-PBE.

Properties
* volume: 16.7 Å³/atom
* density: 10.52 g cm⁻³
* calculated total energy: -39.2 eV per formula unit
* M_tot: 0.000 μB/cell
* density of states at the Fermi level: 6.5 states/eV per cell

Unit cell a=4.553 b=4.553 c=4.553 alpha=60.00 beta=60.00 gamma=60.00
Element x y z (fractional)
Sc  0.000  0.000  0.000
Ta  0.500  0.500  0.500
Mo  0.250  0.250  0.250
Ru  0.750  0.750  0.750

This record from Alexandria describes crystalline BaScIn at its relaxed geometry. The functional is GGA-PBE.

Properties
* volume: 33.6 Å³/atom
* density: 4.89 g cm⁻³
* calculated total energy: -11.7 eV per formula unit
* M_tot: 0.000 μB/cell
* density of states at the Fermi level: 0.5 states/eV per cell

Unit cell a=8.996 b=5.238 c=8.562 alpha=90.00 beta=90.00 gamma=90.00
Element x y z (fractional)
Ba  0.007  0.250  0.164
Ba  0.493  0.750  0.664
Ba  0.507  0.250  0.336
Ba  0.993  0.750  0.836
Sc  0.133  0.250  0.570
Sc  0.367  0.750  0.070
Sc  0.633  0.250  0.930
Sc  0.867  0.750  0.430
In  0.195  0.750  0.382
In  0.305  0.250  0.882
In  0.695  0.750  0.118
In  0.805  0.250  0.618

This record from Alexandria describes crystalline AcThS at its relaxed geometry. The functional is GGA-PBE.

Properties
* E_form (uncorrected): -1.090 eV per atom
* volume: 32.0 Å³/atom
* density: 8.50 g cm⁻³
* calculated total energy: -18.9 eV per formula unit
* M_tot: 0.000 μB/cell
* density of states at the Fermi level: 6.2 states/eV per cell

Unit cell a=4.036 b=5.666 c=8.385 alpha=90.00 beta=90.00 gamma=90.00
Element x y z (fractional)
Ac  0.250  0.250  0.119
Ac  0.750  0.750  0.881
Th  0.250  0.250  0.621
Th  0.750  0.750  0.379
S  0.250  0.750  0.616
S  0.750  0.250  0.384

This record from Alexandria describes crystalline LiTcPt2 at its relaxed geometry. The functional is GGA-PBE.

Properties
* volume: 14.6 Å³/atom
* density: 14.09 g cm⁻³
* calculated total energy: -24.8 eV per formula unit
* M_tot: 0.052 μB/cell
* density of states at the Fermi level: 4.1 states/eV per cell

Unit cell a=4.704 b=4.704 c=4.846 alpha=97.64 beta=97.64 gamma=33.32
Element x y z (fractional)
Li  0.000  0.000  0.000
Tc  0.500  0.500  0.500
Pt  0.248  0.248  0.749
Pt  0.752  0.752  0.251

This record from Alexandria describes crystalline BeAgCl2 at its relaxed geometry. The functional is GGA-PBE.

Properties
* E_form (uncorrected): -0.406 eV per atom
* volume: 22.9 Å³/atom
* density: 3.40 g cm⁻³
* calculated total energy: -11.9 eV per formula unit
* M_tot: 0.000 μB/cell
* density of states at the Fermi level: 1.5 states/eV per cell

Unit cell a=6.356 b=6.356 c=6.356 alpha=119.35 beta=119.35 gamma=91.13
Element x y z (fractional)
Be  0.000  0.000  0.000
Be  0.750  0.250  0.500
Ag  0.250  0.750  0.500
Ag  0.500  0.500  0.000
Cl  0.375  0.225  0.350
Cl  0.775  0.125  0.150
Cl  0.875  0.025  0.650
Cl  0.975  0.625  0.850

This record from Alexandria describes crystalline Ca2ZnSeN at its relaxed geometry. The functional is GGA-PBE.

Properties
* E_form (uncorrected): -0.943 eV per atom
* volume: 19.7 Å³/atom
* density: 4.01 g cm⁻³
* calculated total energy: -21.8 eV per formula unit
* M_tot: 0.000 μB/cell
* density of states at the Fermi level: 1.7 states/eV per cell

Unit cell a=4.957 b=4.957 c=4.015 alpha=90.00 beta=90.00 gamma=90.00
Element x y z (fractional)
Ca  0.000  0.500  0.000
Ca  0.500  0.000  0.000
Zn  0.000  0.000  0.500
Se  0.500  0.500  0.500
N  0.000  0.000  0.000

This record from Alexandria describes crystalline Mn3Ag at its relaxed geometry. The functional is GGA-PBE.

Properties
* volume: 32.8 Å³/atom
* density: 3.45 g cm⁻³
* calculated total energy: -24.0 eV per formula unit
* M_tot: 13.893 μB/cell
* density of states at the Fermi level: 2.9 states/eV per cell

Unit cell a=5.082 b=5.082 c=5.082 alpha=90.00 beta=90.00 gamma=90.00
Element x y z (fractional)
Mn  0.000  0.000  0.500
Mn  0.000  0.500  0.000
Mn  0.500  0.000  0.000
Ag  0.000  0.000  0.000

This record from Alexandria describes crystalline YTiCo2 at its relaxed geometry. The functional is GGA-PBE.

Properties
* volume: 16.0 Å³/atom
* density: 6.61 g cm⁻³
* calculated total energy: -29.0 eV per formula unit
* M_tot: 1.003 μB/cell
* density of states at the Fermi level: 1.9 states/eV per cell

Unit cell a=4.490 b=4.490 c=4.490 alpha=60.00 beta=60.00 gamma=60.00
Element x y z (fractional)
Y  0.000  0.000  0.000
Ti  0.500  0.500  0.500
Co  0.250  0.250  0.250
Co  0.750  0.750  0.750

This record from Alexandria describes crystalline MgTi2B2Ru5 at its relaxed geometry. The functional is GGA-PBE.

Properties
* volume: 13.0 Å³/atom
* density: 8.28 g cm⁻³
* calculated total energy: -81.3 eV per formula unit
* M_tot: 0.000 μB/cell
* density of states at the Fermi level: 18.5 states/eV per cell

Unit cell a=9.256 b=9.256 c=3.029 alpha=90.00 beta=90.00 gamma=90.00
Element x y z (fractional)
Mg  0.000  0.000  0.000
Mg  0.500  0.500  0.000
Ti  0.176  0.324  0.000
Ti  0.324  0.824  0.000
Ti  0.676  0.176  0.000
Ti  0.824  0.676  0.000
B  0.127  0.627  0.000
B  0.373  0.127  0.000
B  0.627  0.873  0.000
B  0.873  0.373  0.000
Ru  0.000  0.500  0.500
Ru  0.073  0.783  0.500
Ru  0.217  0.073  0.500
Ru  0.283  0.573  0.500
Ru  0.427  0.283  0.500
Ru  0.500  0.000  0.500
Ru  0.573  0.717  0.500
Ru  0.717  0.427  0.500
Ru  0.783  0.927  0.500
Ru  0.927  0.217  0.500

This record from Alexandria describes crystalline YFeAg at its relaxed geometry. The functional is GGA-PBE.

Properties
* volume: 22.1 Å³/atom
* density: 6.34 g cm⁻³
* calculated total energy: -16.5 eV per formula unit
* M_tot: 1.949 μB/cell
* density of states at the Fermi level: 6.8 states/eV per cell

Unit cell a=4.540 b=4.540 c=4.540 alpha=60.00 beta=60.00 gamma=60.00
Element x y z (fractional)
Y  0.000  0.000  0.000
Fe  0.750  0.750  0.750
Ag  0.500  0.500  0.500